A relaxed PuZnAsO6 crystal, computed with GGA-PBE.

a = 5.4101 Å, b = 5.4101 Å, c = 8.9380 Å
α = 90.00°, β = 90.00°, γ = 120.00°
Closest atoms and distances in Å follow each position.
Fractional coordinates of all 18 atoms:
Pu1 0.6667 0.3333 0.2500  6 O 2.04
Pu2 0.3333 0.6667 0.7500  6 O 2.04
Zn1 0.0000 0.0000 0.0000  6 O 2.21
Zn2 0.0000 0.0000 0.5000  6 O 2.21
As1 0.3333 0.6667 0.2500  6 O 2.08
As2 0.6667 0.3333 0.7500  6 O 2.08
O1 0.6567 0.6522 0.1322  1 Pu 2.04, 1 As 2.08, 1 Zn 2.21
O2 0.9955 0.3433 0.1322  1 Pu 2.04, 1 As 2.08, 1 Zn 2.21
O3 0.3433 0.9955 0.6322  1 Pu 2.04, 1 As 2.08, 1 Zn 2.21
O4 0.0045 0.6567 0.8678  1 Pu 2.04, 1 As 2.08, 1 Zn 2.21
O5 0.3478 0.3433 0.3678  1 Pu 2.04, 1 As 2.08, 1 Zn 2.21
O6 0.9955 0.6522 0.3678  1 Pu 2.04, 1 As 2.08, 1 Zn 2.21
O7 0.6522 0.9955 0.8678  1 Pu 2.04, 1 As 2.08, 1 Zn 2.21
O8 0.6567 0.0045 0.3678  1 Pu 2.04, 1 As 2.08, 1 Zn 2.21
O9 0.0045 0.3478 0.6322  1 Pu 2.04, 1 As 2.08, 1 Zn 2.21
O10 0.3478 0.0045 0.1322  1 Pu 2.04, 1 As 2.08, 1 Zn 2.21
O11 0.6522 0.6567 0.6322  1 Pu 2.04, 1 As 2.08, 1 Zn 2.21
O12 0.3433 0.3478 0.8678  1 Pu 2.04, 1 As 2.08, 1 Zn 2.21

## Properties
Magnetization, μB per formula unit: 0.989
Crystal system: trigonal
Calculated volume, A^3/atom: 12.59
Final energy, Ry/atom: -0.526
Space-group type: No. 163